[1]
Density functional theory data (PBE) for a geometry-optimized LiCaHIr structure.

Cell: 3.3986 3.6547 9.5119 Å, 90.00 90.00 90.00°
Sites, in units of the cell vectors:
Li1 0.0000 0.0000 0.0000
Li2 0.5000 0.5000 0.5000
Ca1 0.0000 0.0000 0.7099
Ca2 0.5000 0.5000 0.2099
H1 0.0000 0.5000 0.3911
H2 0.5000 0.0000 0.8911
Ir1 0.0000 0.0000 0.3925
Ir2 0.5000 0.5000 0.8925

Offset from the most stable computed form, eV per atom: 0.0000
Raw total energy, Ha/atom: -0.158

[2]
Density functional theory data (PBE) for a geometry-optimized AsPIrS2 structure.

Cell: 4.7802 4.7802 4.4202 Å, 90.00 90.00 90.00°
Sites, in units of the cell vectors:
As1 0.0000 0.0000 0.0000
P1 0.5000 0.5000 0.0000
Ir1 0.5000 0.5000 0.5000
S1 0.0000 0.5000 0.5000
S2 0.5000 0.0000 0.5000

Offset from the most stable computed form, eV per atom: 0.0000
Raw total energy, Ha/atom: -0.173

[3]
Density functional theory data (PBE) for a geometry-optimized PmScSb structure.

Cell: 4.4151 4.4151 8.3302 Å, 90.00 90.00 90.00°
Sites, in units of the cell vectors:
Pm1 0.2500 0.2500 0.1503
Pm2 0.7500 0.7500 0.8497
Sc1 0.2500 0.7500 0.5000
Sc2 0.7500 0.2500 0.5000
Sb1 0.2500 0.2500 0.7566
Sb2 0.7500 0.7500 0.2434

Offset from the most stable computed form, eV per atom: 0.0000
Raw total energy, Ha/atom: -0.219

[4]
Density functional theory data (PBE) for a geometry-optimized CaAc3Hg6 structure.

Cell: 9.8200 5.4178 12.0226 Å, 90.00 108.31 90.00°
Sites, in units of the cell vectors:
Ca1 0.0583 0.2500 0.4107
Ca2 0.9417 0.7500 0.5893
Ac1 0.2170 0.2500 0.0129
Ac2 0.3502 0.7500 0.7881
Ac3 0.4872 0.2500 0.6194
Ac4 0.5128 0.7500 0.3806
Ac5 0.6498 0.2500 0.2119
Ac6 0.7830 0.7500 0.9871
Hg1 0.0503 0.7500 0.8679
Hg2 0.1403 0.2500 0.6955
Hg3 0.1442 0.7500 0.1881
Hg4 0.2403 0.7500 0.4951
Hg5 0.3193 0.2500 0.3070
Hg6 0.4621 0.7500 0.0808
Hg7 0.5379 0.2500 0.9192
Hg8 0.6807 0.7500 0.6930
Hg9 0.7597 0.2500 0.5049
Hg10 0.8558 0.2500 0.8119
Hg11 0.8597 0.7500 0.3045
Hg12 0.9497 0.2500 0.1321

Raw total energy, Ha/atom: -0.075
DFT formation energy, eV/atom: -0.44

[5]
Density functional theory data (PBE) for a geometry-optimized Y5Tl2Ru2 structure.

Cell: 9.0720 9.0720 7.5951 Å, 90.00 90.00 48.84°
Sites, in units of the cell vectors:
Y1 0.0000 0.0000 0.0000
Y2 0.0599 0.7042 0.6756
Y3 0.2042 0.5599 0.1756
Y4 0.2958 0.9401 0.6756
Y5 0.4401 0.7958 0.1756
Y6 0.5000 0.5000 0.5000
Y7 0.5599 0.2042 0.8244
Y8 0.7042 0.0599 0.3244
Y9 0.7958 0.4401 0.8244
Y10 0.9401 0.2958 0.3244
Tl1 0.2228 0.2228 0.0000
Tl2 0.2772 0.2772 0.5000
Tl3 0.7228 0.7228 0.5000
Tl4 0.7772 0.7772 0.0000
Ru1 0.1192 0.8808 0.3758
Ru2 0.3808 0.6192 0.8758
Ru3 0.6192 0.3808 0.1242
Ru4 0.8808 0.1192 0.6242

Raw total energy, Ha/atom: -0.240
DFT formation energy, eV/atom: -0.35

[6]
Density functional theory data (PBE) for a geometry-optimized MgNi structure.

Cell: 4.4526 4.4526 7.2094 Å, 90.00 90.00 120.00°
Sites, in units of the cell vectors:
Mg1 0.0000 0.0000 0.2500
Mg2 0.0000 0.0000 0.7500
Mg3 0.3333 0.6667 0.2500
Mg4 0.6667 0.3333 0.7500
Ni1 0.3333 0.6667 0.5888
Ni2 0.3333 0.6667 0.9112
Ni3 0.6667 0.3333 0.0888
Ni4 0.6667 0.3333 0.4112

Raw total energy, Ha/atom: -0.128
DFT formation energy, eV/atom: 0.19

[7]
Density functional theory data (PBE) for a geometry-optimized K2LiSn2Se4 structure.

Cell: 8.9048 8.9048 8.5156 Å, 116.90 116.90 25.58°
Sites, in units of the cell vectors:
K1 0.1110 0.1110 0.0427
K2 0.8890 0.8890 0.9573
Li1 0.0000 0.0000 0.5000
Sn1 0.3119 0.3119 0.4578
Sn2 0.6881 0.6881 0.5422
Se1 0.1922 0.1922 0.7639
Se2 0.4670 0.4670 0.7096
Se3 0.5330 0.5330 0.2904
Se4 0.8078 0.8078 0.2361

Raw total energy, Ha/atom: -0.136

[8]
Density functional theory data (PBE) for a geometry-optimized CrFe4Hg structure.

Cell: 4.8516 4.8516 4.8516 Å, 60.00 60.00 60.00°
Sites, in units of the cell vectors:
Cr1 0.0000 0.0000 0.0000
Fe1 0.3749 0.3749 0.3749
Fe2 0.3749 0.3749 0.8753
Fe3 0.3749 0.8753 0.3749
Fe4 0.8753 0.3749 0.3749
Hg1 0.7500 0.7500 0.7500

Raw total energy, Ha/atom: -0.259
DFT formation energy, eV/atom: 0.24

[9]
Density functional theory data (PBE) for a geometry-optimized BaCa2LaRh structure.

Cell: 5.6521 5.6521 5.9150 Å, 90.00 90.00 90.00°
Sites, in units of the cell vectors:
Ba1 0.0000 0.0000 0.0000
Ca1 0.0000 0.5000 0.5000
Ca2 0.5000 0.0000 0.5000
La1 0.5000 0.5000 0.0000
Rh1 0.0000 0.0000 0.5000

Offset from the most stable computed form, eV per atom: 0.2961
Raw total energy, Ha/atom: -0.133
DFT formation energy, eV/atom: 0.01

[10]
Density functional theory data (PBE) for a geometry-optimized LiCu2P structure.

Cell: 2.5571 4.1872 4.6941 Å, 90.00 91.35 90.00°
Sites, in units of the cell vectors:
Li1 0.0000 0.0000 0.0000
Cu1 0.3370 0.5000 0.7508
Cu2 0.6630 0.5000 0.2492
P1 0.5000 0.0000 0.5000

Raw total energy, Ha/atom: -0.147
DFT formation energy, eV/atom: -0.11

[11]
Density functional theory data (PBE) for a geometry-optimized InNiRh2 structure.

Cell: 9.0298 2.8881 4.6967 Å, 90.00 101.71 90.00°
Sites, in units of the cell vectors:
In1 0.0000 0.0000 0.0000
In2 0.5000 0.5000 0.0000
Ni1 0.2505 0.5000 0.2587
Ni2 0.7505 0.0000 0.2587
Rh1 0.2447 0.0000 0.7226
Rh2 0.4958 0.0000 0.4905
Rh3 0.7447 0.5000 0.7226
Rh4 0.9958 0.5000 0.4905

Raw total energy, Ha/atom: -0.216
DFT formation energy, eV/atom: -0.07

[12]
Density functional theory data (PBE) for a geometry-optimized TaTc2Os structure.

Cell: 3.1098 4.4260 4.4925 Å, 90.00 90.00 90.00°
Sites, in units of the cell vectors:
Ta1 0.0000 0.0000 0.0000
Tc1 0.0000 0.5000 0.5000
Tc2 0.5000 0.0000 0.5000
Os1 0.5000 0.5000 0.0000

Offset from the most stable computed form, eV per atom: 0.0692
Raw total energy, Ha/atom: -0.402
DFT formation energy, eV/atom: 0.02

Result set for magnetic moment: 0.0; 0.0; 0.3; 0.0; 0.0; 0.0; 0.0; 5.8; 0.0; 0.0; 0.0; 0.0 Bohr magnetons per cell, one per record in the order listed.